[1]
Below is a geometry-optimized Pr12InRu6 structure, with properties calculated at the PBE level.

Cell and atoms, written as CIF:
```
data_Pr12InRu6
_cell_length_a 10.254
_cell_length_b 10.254
_cell_length_c 10.254
_cell_angle_alpha 90.00
_cell_angle_beta 90.00
_cell_angle_gamma 90.00
_symmetry_space_group_name_H-M 'I m -3'
_symmetry_Int_Tables_number 204
_symmetry_space_group_name_Hall '-I 2 2 3'
loop_
_atom_site_label
_atom_site_type_symbol
_atom_site_fract_x
_atom_site_fract_y
_atom_site_fract_z
_atom_site_occupancy
Pr1 Pr 0.000 0.299 0.196 1
In1 In 0.000 0.000 0.000 1
Ru1 Ru 0.000 0.120 0.500 1
```

As for the crystal system: cubic.

---

[2]
Below is a geometry-optimized InPd6Pb structure, with properties calculated at the PBE level.

Cell and atoms, written as CIF:
```
data_InPd6Pb
_cell_length_a 4.076
_cell_length_b 4.076
_cell_length_c 8.141
_cell_angle_alpha 90.00
_cell_angle_beta 90.00
_cell_angle_gamma 90.00
_symmetry_space_group_name_H-M 'P 4/m m m'
_symmetry_Int_Tables_number 123
_symmetry_space_group_name_Hall '-P 4 2'
loop_
_atom_site_label
_atom_site_type_symbol
_atom_site_fract_x
_atom_site_fract_y
_atom_site_fract_z
_atom_site_occupancy
In1 In 0.000 0.000 0.000 1
Pd1 Pd 0.000 0.500 0.245 1
Pd2 Pd 0.500 0.500 0.000 1
Pd3 Pd 0.500 0.500 0.500 1
Pb1 Pb 0.000 0.000 0.500 1
```

As for the crystal system: tetragonal.

---

| no. | formation enthalpy at 0 K (eV/atom) | DOS at the Fermi energy (states/eV/atom) |
| --- | --- | --- |
| 1 | -0.1637 | 0.98 |
| 2 | -0.3601 | 0.66 |